(1)
Crystalline YLuPdPt at its relaxed geometry, computed with PBE-GGA.

Values from the calculation:
spin magnetization	0.00	μB/f.u.
energy of formation from the pure elements	-1.101	eV per atom
N(E_F)	12.5	states/eV per cell

Geometry as CIF:
```
data_YLuPdPt
_chemical_formula_sum 'Y4 Lu4 Pd4 Pt4'
_cell_length_a 6.939
_cell_length_b 6.939
_cell_length_c 6.939
_cell_angle_alpha 90.00
_cell_angle_beta 90.00
_cell_angle_gamma 90.00
_symmetry_space_group_name_H-M 'F -4 3 m'
_symmetry_Int_Tables_number 216
_symmetry_space_group_name_Hall 'F -4 2 3'
loop_
_atom_site_label
_atom_site_type_symbol
_atom_site_fract_x
_atom_site_fract_y
_atom_site_fract_z
Y1 Y 0.000 0.000 0.000
Lu1 Lu 0.000 0.000 0.500
Pd1 Pd 0.250 0.250 0.750
Pt1 Pt 0.250 0.250 0.250
```

---

(2)
Crystalline LuZnPdPt at its relaxed geometry, computed with PBE-GGA.

Values from the calculation:
spin magnetization	0.00	μB/f.u.
energy of formation from the pure elements	-0.897	eV per atom
N(E_F)	7.6	states/eV per cell

Geometry as CIF:
```
data_LuZnPdPt
_chemical_formula_sum 'Lu4 Zn4 Pd4 Pt4'
_cell_length_a 6.525
_cell_length_b 6.525
_cell_length_c 6.525
_cell_angle_alpha 90.00
_cell_angle_beta 90.00
_cell_angle_gamma 90.00
_symmetry_space_group_name_H-M 'F -4 3 m'
_symmetry_Int_Tables_number 216
_symmetry_space_group_name_Hall 'F -4 2 3'
loop_
_atom_site_label
_atom_site_type_symbol
_atom_site_fract_x
_atom_site_fract_y
_atom_site_fract_z
Lu1 Lu 0.000 0.000 0.000
Zn1 Zn 0.000 0.000 0.500
Pd1 Pd 0.250 0.250 0.750
Pt1 Pt 0.250 0.250 0.250
```